# Pm3Sm4Sn4 (PBE, relaxed)
data_Pm3Sm4Sn4
_chemical_formula_sum 'Pm6 Sm8 Sn8'
_cell_length_a 3.6605
_cell_length_b 9.7306
_cell_length_c 18.9674
_cell_angle_alpha 90.00
_cell_angle_beta 90.00
_cell_angle_gamma 90.00
_symmetry_space_group_name_H-M 'I m m m'
_symmetry_Int_Tables_number 71
_symmetry_space_group_name_Hall '-I 2 2'
loop_
_atom_site_label
_atom_site_type_symbol
_atom_site_fract_x
_atom_site_fract_y
_atom_site_fract_z
Pm1 Pm 0.0000 0.0000 0.0000
Pm2 Pm 0.0000 0.5000 0.0915
Sm1 Sm 0.0000 0.3209 0.3344
Sn1 Sn 0.0000 0.0000 0.2726
Sn2 Sn 0.0000 0.2236 0.5000
# formation energy	-550	meV per atom
# calculated density	7.429	Mg/m³